This record from the Alexandria database describes an optimized crystal structure of K2Er2NpS6. The functional is GGA-PBE.

CIF file:
```
data_K2Er2NpS6
_cell_length_a 6.9127
_cell_length_b 11.9632
_cell_length_c 7.8773
_cell_angle_alpha 90.00
_cell_angle_beta 107.24
_cell_angle_gamma 90.00
_space_group_name_H-M_alt 'C 1 2/m 1'
_space_group_IT_number 12
loop_
_space_group_symop_operation_xyz
'x,y,z'
'-x,-y,-z'
'-x,y,-z'
'x,-y,z'
'x+1/2,y+1/2,z'
'-x+1/2,-y+1/2,-z'
'-x+1/2,y+1/2,-z'
'x+1/2,-y+1/2,z'
loop_
_atom_site_label
_atom_site_type_symbol
_atom_site_fract_x
_atom_site_fract_y
_atom_site_fract_z
K1 K 0.0000 0.1685 0.0000
Er1 Er 0.0000 0.3337 0.5000
Np1 Np 0.0000 0.0000 0.5000
S1 S 0.2295 0.1661 0.6941
S2 S 0.2372 0.5000 0.6939
```

## Properties
volume: 28.28 A^3/atom
formation energy without anion corrections: -1.7241 eV/atom
crystal system: monoclinic

This record from the Alexandria database describes an optimized crystal structure of K2ErNpS4. The functional is GGA-PBE.

CIF file:
```
data_K2ErNpS4
_cell_length_a 7.0475
_cell_length_b 4.0625
_cell_length_c 7.7256
_cell_angle_alpha 90.00
_cell_angle_beta 107.76
_cell_angle_gamma 90.00
_space_group_name_H-M_alt 'P 1 2/m 1'
_space_group_IT_number 10
loop_
_space_group_symop_operation_xyz
'x,y,z'
'-x,-y,-z'
'-x,y,-z'
'x,-y,z'
loop_
_atom_site_label
_atom_site_type_symbol
_atom_site_fract_x
_atom_site_fract_y
_atom_site_fract_z
K1 K 0.0000 0.0000 0.0000
K2 K 0.5000 0.5000 0.0000
Er1 Er 0.0000 0.5000 0.5000
Np1 Np 0.5000 0.0000 0.5000
S1 S 0.2286 0.0000 0.7012
S2 S 0.2627 0.5000 0.2994
```

## Properties
volume: 26.33 A^3/atom
formation energy without anion corrections: -1.6260 eV/atom
crystal system: monoclinic

This record from the Alexandria database describes an optimized crystal structure of K4ErNp3S8. The functional is GGA-PBE.

CIF file:
```
data_K4ErNp3S8
_cell_length_a 14.2023
_cell_length_b 8.1789
_cell_length_c 8.7381
_cell_angle_alpha 90.00
_cell_angle_beta 122.68
_cell_angle_gamma 90.00
_space_group_name_H-M_alt 'C 1 2/m 1'
_space_group_IT_number 12
loop_
_space_group_symop_operation_xyz
'x,y,z'
'-x,-y,-z'
'-x,y,-z'
'x,-y,z'
'x+1/2,y+1/2,z'
'-x+1/2,-y+1/2,-z'
'-x+1/2,y+1/2,-z'
'x+1/2,-y+1/2,z'
loop_
_atom_site_label
_atom_site_type_symbol
_atom_site_fract_x
_atom_site_fract_y
_atom_site_fract_z
K1 K 0.0000 0.0000 0.0000
K2 K 0.0000 0.5000 0.0000
K3 K 0.2500 0.2500 0.0000
Er1 Er 0.0000 0.0000 0.5000
Np1 Np 0.0000 0.5000 0.5000
Np2 Np 0.2500 0.2500 0.5000
S1 S 0.0147 0.2461 0.2981
S2 S 0.2315 0.0000 0.7002
S3 S 0.2347 0.5000 0.7014
```

## Properties
volume: 26.70 A^3/atom
formation energy without anion corrections: -1.4919 eV/atom
crystal system: monoclinic

This record from the Alexandria database describes an optimized crystal structure of K3ErNp2S6. The functional is GGA-PBE.

CIF file:
```
data_K3ErNp2S6
_cell_length_a 7.0481
_cell_length_b 12.2083
_cell_length_c 7.7277
_cell_angle_alpha 90.00
_cell_angle_beta 107.70
_cell_angle_gamma 90.00
_space_group_name_H-M_alt 'C 1 2/m 1'
_space_group_IT_number 12
loop_
_space_group_symop_operation_xyz
'x,y,z'
'-x,-y,-z'
'-x,y,-z'
'x,-y,z'
'x+1/2,y+1/2,z'
'-x+1/2,-y+1/2,-z'
'-x+1/2,y+1/2,-z'
'x+1/2,-y+1/2,z'
loop_
_atom_site_label
_atom_site_type_symbol
_atom_site_fract_x
_atom_site_fract_y
_atom_site_fract_z
K1 K 0.0000 0.0000 0.0000
K2 K 0.0000 0.3335 0.0000
Er1 Er 0.0000 0.5000 0.5000
Np1 Np 0.0000 0.1667 0.5000
S1 S 0.2322 0.3348 0.7011
S2 S 0.2366 0.0000 0.7010
```

## Properties
volume: 26.39 A^3/atom
formation energy without anion corrections: -1.5464 eV/atom
crystal system: monoclinic

This record from the Alexandria database describes an optimized crystal structure of K3ErNp3S8. The functional is GGA-PBE.

CIF file:
```
data_K3ErNp3S8
_cell_length_a 14.0523
_cell_length_b 8.0996
_cell_length_c 8.7936
_cell_angle_alpha 90.00
_cell_angle_beta 122.10
_cell_angle_gamma 90.00
_space_group_name_H-M_alt 'C 1 2/m 1'
_space_group_IT_number 12
loop_
_space_group_symop_operation_xyz
'x,y,z'
'-x,-y,-z'
'-x,y,-z'
'x,-y,z'
'x+1/2,y+1/2,z'
'-x+1/2,-y+1/2,-z'
'-x+1/2,y+1/2,-z'
'x+1/2,-y+1/2,z'
loop_
_atom_site_label
_atom_site_type_symbol
_atom_site_fract_x
_atom_site_fract_y
_atom_site_fract_z
K1 K 0.0000 0.0000 0.0000
K2 K 0.2500 0.2500 0.0000
Er1 Er 0.0000 0.0000 0.5000
Np1 Np 0.0000 0.5000 0.5000
Np2 Np 0.2500 0.2500 0.5000
S1 S 0.0175 0.2474 0.3048
S2 S 0.2306 0.0000 0.6932
S3 S 0.2345 0.5000 0.7003
```

## Properties
volume: 28.26 A^3/atom
formation energy without anion corrections: -1.5000 eV/atom
crystal system: monoclinic

This record from the Alexandria database describes an optimized crystal structure of K4Er3NpSe8. The functional is GGA-PBE.

CIF file:
```
data_K4Er3NpSe8
_cell_length_a 8.4196
_cell_length_b 8.4196
_cell_length_c 23.0268
_cell_angle_alpha 90.00
_cell_angle_beta 90.00
_cell_angle_gamma 120.00
_space_group_name_H-M_alt 'R -3 m'
_space_group_IT_number 166
_space_group_name_Hall '-R 3 2"'
loop_
_atom_site_label
_atom_site_type_symbol
_atom_site_fract_x
_atom_site_fract_y
_atom_site_fract_z
K1 K 0.0000 0.0000 0.0000
K2 K 0.0000 0.5000 0.0000
Er1 Er 0.0000 0.5000 0.5000
Np1 Np 0.0000 0.0000 0.5000
Se1 Se 0.0000 0.0000 0.2344
Se2 Se 0.0056 0.5028 0.7651
```

## Properties
volume: 29.45 A^3/atom
formation energy without anion corrections: -1.6213 eV/atom
crystal system: trigonal

This record from the Alexandria database describes an optimized crystal structure of K4ErNp3Se8. The functional is GGA-PBE.

CIF file:
```
data_K4ErNp3Se8
_cell_length_a 14.8227
_cell_length_b 8.5152
_cell_length_c 9.1160
_cell_angle_alpha 90.00
_cell_angle_beta 122.81
_cell_angle_gamma 90.00
_space_group_name_H-M_alt 'C 1 2/m 1'
_space_group_IT_number 12
loop_
_space_group_symop_operation_xyz
'x,y,z'
'-x,-y,-z'
'-x,y,-z'
'x,-y,z'
'x+1/2,y+1/2,z'
'-x+1/2,-y+1/2,-z'
'-x+1/2,y+1/2,-z'
'x+1/2,-y+1/2,z'
loop_
_atom_site_label
_atom_site_type_symbol
_atom_site_fract_x
_atom_site_fract_y
_atom_site_fract_z
K1 K 0.0000 0.0000 0.0000
K2 K 0.0000 0.5000 0.0000
K3 K 0.2500 0.2500 0.0000
Er1 Er 0.0000 0.0000 0.5000
Np1 Np 0.0000 0.5000 0.5000
Np2 Np 0.2500 0.2500 0.5000
Se1 Se 0.0130 0.2457 0.2938
Se2 Se 0.2321 0.0000 0.7042
Se3 Se 0.2362 0.5000 0.7066
```

## Properties
volume: 30.22 A^3/atom
formation energy without anion corrections: -1.3609 eV/atom
crystal system: monoclinic

This record from the Alexandria database describes an optimized crystal structure of K3Er3NpSe8. The functional is GGA-PBE.

CIF file:
```
data_K3Er3NpSe8
_cell_length_a 8.3090
_cell_length_b 8.3090
_cell_length_c 23.3944
_cell_angle_alpha 90.00
_cell_angle_beta 90.00
_cell_angle_gamma 120.00
_space_group_name_H-M_alt 'R -3 m'
_space_group_IT_number 166
_space_group_name_Hall '-R 3 2"'
loop_
_atom_site_label
_atom_site_type_symbol
_atom_site_fract_x
_atom_site_fract_y
_atom_site_fract_z
K1 K 0.0000 0.5000 0.0000
Er1 Er 0.0000 0.5000 0.5000
Np1 Np 0.0000 0.0000 0.5000
Se1 Se 0.0000 0.0000 0.2341
Se2 Se 0.0009 0.5005 0.2332
```

## Properties
volume: 31.08 A^3/atom
formation energy without anion corrections: -1.6211 eV/atom
crystal system: trigonal

This record from the Alexandria database describes an optimized crystal structure of K3Er2NpSe6. The functional is GGA-PBE.

CIF file:
```
data_K3Er2NpSe6
_cell_length_a 7.3104
_cell_length_b 12.6662
_cell_length_c 8.0567
_cell_angle_alpha 90.00
_cell_angle_beta 107.63
_cell_angle_gamma 90.00
_space_group_name_H-M_alt 'C 1 2/m 1'
_space_group_IT_number 12
loop_
_space_group_symop_operation_xyz
'x,y,z'
'-x,-y,-z'
'-x,y,-z'
'x,-y,z'
'x+1/2,y+1/2,z'
'-x+1/2,-y+1/2,-z'
'-x+1/2,y+1/2,-z'
'x+1/2,-y+1/2,z'
loop_
_atom_site_label
_atom_site_type_symbol
_atom_site_fract_x
_atom_site_fract_y
_atom_site_fract_z
K1 K 0.0000 0.0000 0.0000
K2 K 0.0000 0.3341 0.0000
Er1 Er 0.0000 0.1673 0.5000
Np1 Np 0.0000 0.5000 0.5000
Se1 Se 0.2288 0.0000 0.7044
Se2 Se 0.2382 0.3300 0.7050
```

## Properties
volume: 29.62 A^3/atom
formation energy without anion corrections: -1.5772 eV/atom
crystal system: monoclinic

This record from the Alexandria database describes an optimized crystal structure of K2ErNpSe4. The functional is GGA-PBE.

CIF file:
```
data_K2ErNpSe4
_cell_length_a 7.3479
_cell_length_b 4.2281
_cell_length_c 8.0469
_cell_angle_alpha 90.00
_cell_angle_beta 107.71
_cell_angle_gamma 90.00
_space_group_name_H-M_alt 'P 1 2/m 1'
_space_group_IT_number 10
loop_
_space_group_symop_operation_xyz
'x,y,z'
'-x,-y,-z'
'-x,y,-z'
'x,-y,z'
loop_
_atom_site_label
_atom_site_type_symbol
_atom_site_fract_x
_atom_site_fract_y
_atom_site_fract_z
K1 K 0.0000 0.0000 0.0000
K2 K 0.5000 0.5000 0.0000
Er1 Er 0.0000 0.5000 0.5000
Np1 Np 0.5000 0.0000 0.5000
Se1 Se 0.2289 0.0000 0.7047
Se2 Se 0.2601 0.5000 0.2950
```

## Properties
volume: 29.77 A^3/atom
formation energy without anion corrections: -1.4953 eV/atom
crystal system: monoclinic

This record from the Alexandria database describes an optimized crystal structure of K3Er3NpTe8. The functional is GGA-PBE.

CIF file:
```
data_K3Er3NpTe8
_cell_length_a 8.8526
_cell_length_b 8.8526
_cell_length_c 25.1114
_cell_angle_alpha 90.00
_cell_angle_beta 90.00
_cell_angle_gamma 120.00
_space_group_name_H-M_alt 'R -3 m'
_space_group_IT_number 166
_space_group_name_Hall '-R 3 2"'
loop_
_atom_site_label
_atom_site_type_symbol
_atom_site_fract_x
_atom_site_fract_y
_atom_site_fract_z
K1 K 0.0000 0.5000 0.0000
Er1 Er 0.0000 0.5000 0.5000
Np1 Np 0.0000 0.0000 0.5000
Te1 Te 0.0000 0.0000 0.2355
Te2 Te 0.0016 0.5008 0.7650
```

## Properties
volume: 37.87 A^3/atom
formation energy without anion corrections: -1.2190 eV/atom
crystal system: trigonal

This record from the Alexandria database describes an optimized crystal structure of K14Er2O9. The functional is GGA-PBE.

CIF file:
```
data_K14Er2O9
_cell_length_a 7.8413
_cell_length_b 7.8413
_cell_length_c 10.9738
_cell_angle_alpha 90.00
_cell_angle_beta 90.00
_cell_angle_gamma 120.00
_space_group_name_H-M_alt 'P -3'
_space_group_IT_number 147
loop_
_space_group_symop_operation_xyz
'x,y,z'
'-x,-y,-z'
'-y,x-y,z'
'y,-x+y,-z'
'-x+y,-x,z'
'x-y,x,-z'
loop_
_atom_site_label
_atom_site_type_symbol
_atom_site_fract_x
_atom_site_fract_y
_atom_site_fract_z
K1 K 0.0000 0.0000 0.2478
K2 K 0.0464 0.6800 0.9092
K3 K 0.0972 0.3862 0.5922
Er1 Er 0.3333 0.6667 0.2733
O1 O 0.0000 0.0000 0.0000
O2 O 0.1094 0.3815 0.3406
O3 O 0.3333 0.6667 0.0768
```

## Properties
volume: 23.37 A^3/atom
formation energy without anion corrections: -1.4433 eV/atom
crystal system: trigonal

This record from the Alexandria database describes an optimized crystal structure of KEr2O. The functional is GGA-PBE.

CIF file:
```
data_KEr2O
_cell_length_a 3.5197
_cell_length_b 3.5197
_cell_length_c 29.8018
_cell_angle_alpha 90.00
_cell_angle_beta 90.00
_cell_angle_gamma 120.00
_space_group_name_H-M_alt 'R -3 m'
_space_group_IT_number 166
_space_group_name_Hall '-R 3 2"'
loop_
_atom_site_label
_atom_site_type_symbol
_atom_site_fract_x
_atom_site_fract_y
_atom_site_fract_z
K1 K 0.0000 0.0000 0.0000
Er1 Er 0.0000 0.0000 0.1233
O1 O 0.0000 0.0000 0.5000
```

## Properties
volume: 26.64 A^3/atom
formation energy without anion corrections: -1.0635 eV/atom
crystal system: trigonal

This record from the Alexandria database describes an optimized crystal structure of KErOs2O8. The functional is GGA-PBE.

CIF file:
```
data_KErOs2O8
_cell_length_a 5.9663
_cell_length_b 5.9663
_cell_length_c 7.5938
_cell_angle_alpha 90.00
_cell_angle_beta 90.00
_cell_angle_gamma 120.00
_space_group_name_H-M_alt 'P -3'
_space_group_IT_number 147
loop_
_space_group_symop_operation_xyz
'x,y,z'
'-x,-y,-z'
'-y,x-y,z'
'y,-x+y,-z'
'-x+y,-x,z'
'x-y,x,-z'
loop_
_atom_site_label
_atom_site_type_symbol
_atom_site_fract_x
_atom_site_fract_y
_atom_site_fract_z
K1 K 0.0000 0.0000 0.0000
Er1 Er 0.0000 0.0000 0.5000
Os1 Os 0.3333 0.6667 0.7650
O1 O 0.1614 0.3356 0.6829
O2 O 0.3333 0.6667 0.9978
```

## Properties
volume: 19.51 A^3/atom
formation energy without anion corrections: -1.5509 eV/atom
crystal system: trigonal

This record from the Alexandria database describes an optimized crystal structure of K2ErOsO6. The functional is GGA-PBE.

CIF file:
```
data_K2ErOsO6
_cell_length_a 6.2387
_cell_length_b 6.2387
_cell_length_c 5.7187
_cell_angle_alpha 90.00
_cell_angle_beta 90.00
_cell_angle_gamma 120.00
_space_group_name_H-M_alt 'P -3 m 1'
_space_group_IT_number 164
_space_group_name_Hall '-P 3 2"'
loop_
_atom_site_label
_atom_site_type_symbol
_atom_site_fract_x
_atom_site_fract_y
_atom_site_fract_z
K1 K 0.3333 0.6667 0.1058
Er1 Er 0.0000 0.0000 0.5000
Os1 Os 0.0000 0.0000 0.0000
O1 O 0.1402 0.2803 0.7941
```

## Properties
volume: 19.28 A^3/atom
formation energy without anion corrections: -1.7495 eV/atom
crystal system: trigonal

This record from the Alexandria database describes an optimized crystal structure of KErOsO6. The functional is GGA-PBE.

CIF file:
```
data_KErOsO6
_cell_length_a 5.5839
_cell_length_b 5.5839
_cell_length_c 5.8037
_cell_angle_alpha 90.00
_cell_angle_beta 90.00
_cell_angle_gamma 120.00
_space_group_name_H-M_alt 'P 3 1 2'
_space_group_IT_number 149
loop_
_space_group_symop_operation_xyz
'x,y,z'
'-y,x-y,z'
'-x+y,-x,z'
'-y,-x,-z'
'-x+y,y,-z'
'x,x-y,-z'
loop_
_atom_site_label
_atom_site_type_symbol
_atom_site_fract_x
_atom_site_fract_y
_atom_site_fract_z
K1 K 0.0000 0.0000 0.0000
Er1 Er 0.3333 0.6667 0.5000
Os1 Os 0.6667 0.3333 0.5000
O1 O 0.4068 0.0461 0.6868
```

## Properties
volume: 17.41 A^3/atom
formation energy without anion corrections: -1.7980 eV/atom
crystal system: trigonal

This record from the Alexandria database describes an optimized crystal structure of KEr2OsO8. The functional is GGA-PBE.

CIF file:
```
data_KEr2OsO8
_cell_length_a 4.5852
_cell_length_b 5.1426
_cell_length_c 7.2815
_cell_angle_alpha 90.14
_cell_angle_beta 90.77
_cell_angle_gamma 90.91
_space_group_name_H-M_alt 'P -1'
_space_group_IT_number 2
loop_
_space_group_symop_operation_xyz
'x,y,z'
'-x,-y,-z'
loop_
_atom_site_label
_atom_site_type_symbol
_atom_site_fract_x
_atom_site_fract_y
_atom_site_fract_z
K1 K 0.0000 0.0000 0.0000
Er1 Er 0.4966 0.4997 0.7404
Os1 Os 0.0000 0.0000 0.5000
O1 O 0.2242 0.8461 0.3217
O2 O 0.2332 0.8571 0.6826
O3 O 0.2514 0.3059 0.4959
O4 O 0.2527 0.4766 0.9995
```

## Properties
volume: 14.30 A^3/atom
formation energy without anion corrections: -1.9587 eV/atom
crystal system: triclinic

This record from the Alexandria database describes an optimized crystal structure of K2Er2OsO6. The functional is GGA-PBE.

CIF file:
```
data_K2Er2OsO6
_cell_length_a 5.7494
_cell_length_b 9.8838
_cell_length_c 6.5732
_cell_angle_alpha 90.00
_cell_angle_beta 105.52
_cell_angle_gamma 90.00
_space_group_name_H-M_alt 'C 1 2/m 1'
_space_group_IT_number 12
loop_
_space_group_symop_operation_xyz
'x,y,z'
'-x,-y,-z'
'-x,y,-z'
'x,-y,z'
'x+1/2,y+1/2,z'
'-x+1/2,-y+1/2,-z'
'-x+1/2,y+1/2,-z'
'x+1/2,-y+1/2,z'
loop_
_atom_site_label
_atom_site_type_symbol
_atom_site_fract_x
_atom_site_fract_y
_atom_site_fract_z
K1 K 0.0000 0.1607 0.0000
Er1 Er 0.0000 0.3367 0.5000
Os1 Os 0.0000 0.0000 0.5000
O1 O 0.2041 0.1567 0.6706
O2 O 0.2435 0.5000 0.6778
```

## Properties
volume: 16.36 A^3/atom
formation energy without anion corrections: -2.2205 eV/atom
crystal system: monoclinic